Version P
VASP calculation (GGA-PBE) on a relaxed Tl2CoCl crystal.

Cell lengths 6.3469, 3.6534, 8.1300 Å; angles 90.00, 104.94, 90.00 degrees
With the nearest neighbours (Å) after each atom.
Space group C2/m (No. 12)
Unique sites:
1 Tl 0.2371 0.0000 0.2110 x4  3 Co 2.68-2.69
2 Co 0.0000 0.5000 0.0000 x2  6 Tl 2.68-2.69
3 Cl 0.0000 0.0000 0.5000 x2  6 Tl 3.10

DOS at the Fermi energy = 7.3 states/eV per cell

=====

Version Q
VASP calculation (GGA-PBE) on a relaxed Tl2CoCl crystal.

Cell lengths 3.6051, 3.8595, 7.5642 Å; angles 90.00, 90.00, 90.00 degrees
With the nearest neighbours (Å) after each atom.
Space group Pmm2 (No. 25)
Unique sites:
1 Tl 0.0000 0.0000 0.0000 x1  4 Co 2.65
2 Tl 0.5000 0.5000 0.3863 x1  1 Co 2.66
3 Co 0.5000 0.5000 0.0349 x1  5 Tl 2.65-2.66
4 Cl 0.0000 0.0000 0.5878 x1  5 Tl 3.05-3.12

DOS at the Fermi energy = 2.3 states/eV per cell

=====

Here are the energies relative to the best structure, in meV/atom: version P 83; version Q 0.

=====

Version P
VASP calculation (GGA-PBE) on a relaxed Tl2CoCl crystal.

Cell lengths 3.1660, 3.1660, 9.5626 Å; angles 90.00, 90.00, 90.00 degrees
With the nearest neighbours (Å) after each atom.
Space group P4mm (No. 99)
Unique sites:
1 Tl 0.0000 0.0000 0.0000 x1  4 Co 3.13, 4 Tl 3.17, 1 Cl 3.28
2 Tl 0.5000 0.5000 0.3121 x1  4 Tl 3.17
3 Co 0.5000 0.5000 0.7709 x1  4 Cl 2.49
4 Cl 0.0000 0.0000 0.6574 x1  4 Co 2.49

DOS at the Fermi energy = 2.8 states/eV per cell

=====

Version Q
VASP calculation (GGA-PBE) on a relaxed Tl2CoCl crystal.

Cell lengths 4.1495, 4.1495, 12.2621 Å; angles 90.00, 90.00, 90.00 degrees
With the nearest neighbours (Å) after each atom.
Space group I-4m2 (No. 119)
Unique sites:
1 Tl 0.0000 0.0000 0.0000 x2  4 Co 2.93
2 Tl 0.0000 0.5000 0.2500 x2  4 Cl 2.93
3 Co 0.0000 0.0000 0.5000 x2  4 Tl 2.93
4 Cl 0.0000 0.5000 0.7500 x2  4 Tl 2.93

DOS at the Fermi energy = 2.0 states/eV per cell

=====

Version R
VASP calculation (GGA-PBE) on a relaxed Tl2CoCl crystal.

Cell lengths 3.4740, 5.8579, 9.6899 Å; angles 90.00, 90.00, 90.00 degrees
With the nearest neighbours (Å) after each atom.
Space group Cmm2 (No. 35)
Unique sites:
1 Tl 0.0000 0.0000 0.0000 x2  2 Co 2.77
2 Tl 0.0000 0.5000 0.3016 x2  8 Tl 3.40-3.47, 2 Cl 3.59
3 Co 0.0000 0.5000 0.7767 x2  2 Cl 2.27
4 Cl 0.0000 0.0000 0.6264 x2  2 Co 2.27

DOS at the Fermi energy = 9.1 states/eV per cell

=====

Here are the energies relative to the best structure, in meV/atom: version P 33; version Q 156; version R 0.

=====

Version P
VASP calculation (GGA-PBE) on a relaxed Tl2CoCl crystal.

Cell lengths 6.2157, 6.2157, 13.7203 Å; angles 90.00, 90.00, 90.00 degrees
With the nearest neighbours (Å) after each atom.
Space group I-42d (No. 122)
Unique sites:
1 Tl 0.1777 0.2500 0.1250 x8  2 Co 2.56
2 Co 0.0000 0.0000 0.0000 x4  4 Tl 2.56
3 Cl 0.0000 0.0000 0.5000 x4  4 Tl 3.06

DOS at the Fermi energy = 11.9 states/eV per cell

=====

Version Q
VASP calculation (GGA-PBE) on a relaxed Tl2CoCl crystal.

Cell lengths 3.2032, 5.5535, 10.6237 Å; angles 90.00, 90.00, 90.00 degrees
With the nearest neighbours (Å) after each atom.
Space group Imm2 (No. 44)
Unique sites:
1 Tl 0.0000 0.0000 0.0000 x2  6 Tl 3.20-3.54, 4 Co 3.21, 2 Cl 3.34
2 Tl 0.0000 0.5000 0.2024 x2  2 Co 2.83
3 Co 0.0000 0.0000 0.4830 x2  2 Cl 2.31
4 Cl 0.0000 0.5000 0.8259 x2  2 Co 2.31

DOS at the Fermi energy = 9.5 states/eV per cell

=====

Version R
VASP calculation (GGA-PBE) on a relaxed Tl2CoCl crystal.

Cell lengths 3.4307, 3.4307, 28.7235 Å; angles 90.00, 90.00, 120.00 degrees
With the nearest neighbours (Å) after each atom.
Space group R3m (No. 160, hexagonal axes)
Unique sites:
1 Tl 0.0000 0.0000 0.0000 x3  9 Tl 3.43
2 Tl 0.0000 0.0000 0.2359 x3  3 Co 2.86
3 Co 0.0000 0.0000 0.4974 x3  3 Cl 2.32
4 Cl 0.0000 0.0000 0.7888 x3  3 Co 2.32

DOS at the Fermi energy = 5.8 states/eV per cell

=====

Here are the energies relative to the best structure, in meV/atom: version P 248; version Q 83; version R 0.

=====

Version P
VASP calculation (GGA-PBE) on a relaxed Tl2CoCl crystal.

Cell lengths 3.3878, 3.3878, 7.6550 Å; angles 90.00, 90.00, 90.00 degrees
With the nearest neighbours (Å) after each atom.
Space group P4/mmm (No. 123)
Unique sites:
1 Tl 0.0000 0.0000 0.2089 x2  4 Co 2.88, 1 Tl 3.20
2 Co 0.5000 0.5000 0.0000 x1  8 Tl 2.88
3 Cl 0.5000 0.5000 0.5000 x1  8 Tl 3.27, 4 Cl 3.39

DOS at the Fermi energy = 2.2 states/eV per cell

=====

Version Q
VASP calculation (GGA-PBE) on a relaxed Tl2CoCl crystal.

Cell lengths 3.3908, 3.3749, 7.9873 Å; angles 90.00, 90.42, 90.00 degrees
With the nearest neighbours (Å) after each atom.
Space group P2/m (No. 10)
Unique sites:
1 Tl 0.0036 0.0000 0.1995 x2  4 Co 2.87, 2 Cl 2.93, 1 Tl 3.19
2 Co 0.5000 0.5000 0.0000 x1  8 Tl 2.87
3 Cl 0.0000 0.5000 0.5000 x1  4 Tl 2.93

DOS at the Fermi energy = 2.0 states/eV per cell

=====

Here are the energies relative to the best structure, in meV/atom: version P 31; version Q 0.

=====

Version P
VASP calculation (GGA-PBE) on a relaxed Tl2CoCl crystal.

Cell lengths 7.4363, 7.4363, 7.4363 Å; angles 90.00, 90.00, 90.00 degrees
With the nearest neighbours (Å) after each atom.
Space group Fm-3m (No. 225)
Unique sites:
1 Tl 0.2500 0.2500 0.2500 x8  4 Cl 3.22, 4 Co 3.22
2 Co 0.0000 0.0000 0.0000 x4  8 Tl 3.22
3 Cl 0.0000 0.0000 0.5000 x4  8 Tl 3.22

DOS at the Fermi energy = 8.4 states/eV per cell

=====

Version Q
VASP calculation (GGA-PBE) on a relaxed Tl2CoCl crystal.

Cell lengths 3.6467, 3.9131, 13.5008 Å; angles 90.00, 90.00, 90.00 degrees
With the nearest neighbours (Å) after each atom.
Space group Imm2 (No. 44)
Unique sites:
1 Tl 0.0000 0.0000 0.0000 x2  4 Co 2.68
2 Tl 0.0000 0.0000 0.3091 x2  1 Co 2.73
3 Co 0.0000 0.0000 0.5116 x2  1 Cl 2.32
4 Cl 0.0000 0.0000 0.6831 x2  1 Co 2.32

DOS at the Fermi energy = 4.6 states/eV per cell

=====

Version R
VASP calculation (GGA-PBE) on a relaxed Tl2CoCl crystal.

Cell lengths 3.1665, 3.8849, 15.5973 Å; angles 90.00, 90.00, 90.00 degrees
With the nearest neighbours (Å) after each atom.
Space group Immm (No. 71)
Unique sites:
1 Tl 0.0000 0.0000 0.1682 x4  2 Co 3.06, 2 Tl 3.17, 2 Cl 3.26
2 Co 0.0000 0.5000 0.5000 x2  4 Cl 2.51
3 Cl 0.0000 0.5000 0.0000 x2  4 Co 2.51

DOS at the Fermi energy = 7.8 states/eV per cell

=====

Here are the energies relative to the best structure, in meV/atom: version P 329; version Q 0; version R 194.

=====

Version P
VASP calculation (GGA-PBE) on a relaxed TlCoCl6 crystal.

Cell lengths 6.2236, 11.6741, 6.2028 Å; angles 90.00, 108.03, 90.00 degrees
With the nearest neighbours (Å) after each atom.
Space group C2/m (No. 12)
Unique sites:
1 Tl 0.0000 0.0000 0.0000 x2  6 Cl 2.63-2.74
2 Co 0.0000 0.5000 0.5000 x2  6 Cl 2.25-2.28
3 Cl 0.2145 0.3626 0.7159 x8  1 Co 2.25
4 Cl 0.2275 0.5000 0.2731 x4  1 Co 2.28

DOS at the Fermi energy = 1.2 states/eV per cell

=====

Version Q
VASP calculation (GGA-PBE) on a relaxed TlCoCl6 crystal.

Cell lengths 6.1827, 6.1827, 16.8043 Å; angles 90.00, 90.00, 120.00 degrees
With the nearest neighbours (Å) after each atom.
Space group R-3 (No. 148, hexagonal axes)
Unique sites:
1 Tl 0.0000 0.0000 0.0000 x3  6 Cl 2.72
2 Co 0.0000 0.0000 0.5000 x3  6 Cl 2.26
3 Cl 0.0190 0.7094 0.4236 x18  1 Co 2.26

DOS at the Fermi energy = 1.4 states/eV per cell

=====

Here are the energies relative to the best structure, in meV/atom: version P 0; version Q 13.